Compound: CaLa3Tb3
Source: Alexandria
Functional: PBE
Structure: relaxed

E_form ... 171 kJ/mol of formula units

a b c (Å): 9.1690 9.1690 9.1690
angles (deg): 57.39 57.39 57.39
Fractional coordinates of all 14 atoms:
La 0.7035 0.1740 0.9391
La 0.1740 0.9391 0.7035
La 0.0609 0.2965 0.8260
La 0.9391 0.7035 0.1740
La 0.8260 0.0609 0.2965
La 0.2965 0.8260 0.0609
Tb 0.9385 0.2682 0.4211
Tb 0.2682 0.4211 0.9385
Tb 0.5789 0.0615 0.7318
Tb 0.7318 0.5789 0.0615
Tb 0.0615 0.7318 0.5789
Tb 0.4211 0.9385 0.2682
Ca 0.3463 0.3463 0.3463
Ca 0.6537 0.6537 0.6537

Compound: Li2In5Pd12
Source: Alexandria
Functional: PBE
Structure: relaxed

E_form ... -605 kJ/mol of formula units

a b c (Å): 5.9382 7.8616 7.4936
angles (deg): 78.31 90.00 112.19
Fractional coordinates of all 19 atoms:
In 0.6896 0.3792 0.7798
In 0.2300 0.4599 0.7706
In 0.3104 0.6208 0.2202
In 0.0000 0.0000 0.5000
In 0.7700 0.5401 0.2294
Pd 0.4947 0.9894 0.6853
Pd 0.0979 0.6923 0.5115
Pd 0.0446 0.0891 0.8160
Pd 0.9554 0.9109 0.1840
Pd 0.4055 0.3077 0.4885
Pd 0.6200 0.7053 0.9033
Pd 0.3800 0.2947 0.0967
Pd 0.9147 0.2947 0.0967
Pd 0.9021 0.3077 0.4885
Pd 0.5945 0.6923 0.5115
Pd 0.0853 0.7053 0.9033
Pd 0.5053 0.0106 0.3147
Li 0.3242 0.0000 0.0000
Li 0.6758 0.0000 0.0000

Compound: LaBiSe2O
Source: Alexandria
Functional: PBE
Structure: relaxed

Polymorph energy (0 for the lowest one) ... 0 meV per atom
Raw formation energy ... -8.73 eV/f.u.

a b c (Å): 4.1475 4.1475 14.9394
angles (deg): 90.00 90.00 90.00
Fractional coordinates of all 10 atoms:
Bi 0.5000 0.0000 0.6344
Bi 0.0000 0.5000 0.3656
La 0.0000 0.5000 0.9187
La 0.5000 0.0000 0.0813
Se 0.5000 0.0000 0.8131
Se 0.5000 0.0000 0.4005
Se 0.0000 0.5000 0.1869
Se 0.0000 0.5000 0.5995
O 0.5000 0.5000 0.0000
O 0.0000 0.0000 0.0000

Compound: SrAl4Cu
Source: Alexandria
Functional: PBE
Structure: relaxed

E_form ... -67 kJ/mol of formula units

a b c (Å): 7.0816 6.2189 6.9738
angles (deg): 92.91 121.44 77.85
Fractional coordinates of all 12 atoms:
Cu 0.0000 0.5000 0.5000
Cu 0.5000 0.0000 0.5000
Sr 0.7778 0.7672 0.9545
Sr 0.2222 0.2328 0.0455
Al 0.7056 0.3315 0.5597
Al 0.1723 0.0867 0.5412
Al 0.2339 0.7298 0.8057
Al 0.5290 0.6678 0.2436
Al 0.8277 0.9133 0.4588
Al 0.2944 0.6685 0.4403
Al 0.4710 0.3322 0.7564
Al 0.7661 0.2702 0.1943

Compound: Ac4SmHo
Source: Alexandria
Functional: PBE
Structure: relaxed

E_form ... 216 kJ/mol of formula units
Polymorph energy (0 for the lowest one) ... 215 meV per atom

a b c (Å): 7.1424 7.1424 7.1424
angles (deg): 60.00 60.00 60.00
Fractional coordinates of all 6 atoms:
Ac 0.6254 0.6254 0.6254
Ac 0.1237 0.6254 0.6254
Ac 0.6254 0.6254 0.1237
Ac 0.6254 0.1237 0.6254
Ho 0.0000 0.0000 0.0000
Sm 0.2500 0.2500 0.2500

Compound: DyHfTi2O8
Source: Alexandria
Functional: PBE
Structure: relaxed

Raw formation energy ... -36.93 eV/f.u.

a b c (Å): 5.0758 5.0758 6.4665
angles (deg): 113.11 113.11 90.00
Each line ends with the local moment (μB).
Fractional coordinates of all 12 atoms:
Ti 0.2500 0.7500 0.5000  -0.04
Ti 0.5000 0.5000 0.0000  -0.03
O 0.6815 0.2320 0.8368  0.12
O 0.7680 0.8447 0.1632  0.12
O 0.6046 0.6790 0.6838  0.12
O 0.1553 0.6048 0.8368  0.12
O 0.9951 0.3954 0.3162  0.12
O 0.0793 0.0049 0.6838  0.12
O 0.3952 0.3185 0.1632  0.12
O 0.3210 0.9207 0.3162  0.12
Dy 0.7500 0.2500 0.5000  0.00
Hf 0.0000 0.0000 0.0000  -0.01

Compound: Y2GaHPd
Source: Alexandria
Functional: PBE
Structure: relaxed

Total energy ... -0.20392 Ha/atom

a b c (Å): 4.9725 4.9725 3.7350
angles (deg): 90.00 90.00 90.00
Fractional coordinates of all 5 atoms:
H 0.0000 0.0000 0.0000
Ga 0.5000 0.5000 0.5000
Y 0.5000 0.0000 0.0000
Y 0.0000 0.5000 0.0000
Pd 0.0000 0.0000 0.5000

Compound: Fe2Te3
Source: Alexandria
Functional: PBE
Structure: relaxed

Raw formation energy ... 0.32 eV/f.u.

a b c (Å): 7.8788 6.7167 6.4580
angles (deg): 73.43 54.79 51.78
Each line ends with the local moment (μB).
Fractional coordinates of all 10 atoms:
Te 0.3812 0.2181 0.7511  -0.05
Te 0.6496 0.7511 0.2181  -0.05
Te 0.8649 0.1351 0.1351  -0.07
Te 0.1149 0.3851 0.3851  -0.07
Te 0.0319 0.8688 0.6004  -0.05
Te 0.4989 0.6004 0.8688  -0.05
Fe 0.0907 0.6709 0.9749  1.40
Fe 0.5791 0.1593 0.9864  1.40
Fe 0.2751 0.9864 0.1593  1.40
Fe 0.2636 0.9749 0.6709  1.40